Computed, not measured: an optimized crystal structure of YCu2 at the PBE-GGA level of DFT.

Output
formation energy: -0.186 eV per atom
DFT total energy: -57.83 eV/cell
space-group type: P6_3/mmc, No. 194

Unit cell a=5.249 b=5.249 c=8.544 alpha=90.00 beta=90.00 gamma=120.00
Atoms (fractional coordinates):
Cu (0.000, 0.000, 0.000)
Cu (0.165, 0.330, 0.250)
Cu (0.165, 0.835, 0.250)
Cu (0.670, 0.835, 0.250)
Cu (0.000, 0.000, 0.500)
Cu (0.330, 0.165, 0.750)
Cu (0.835, 0.165, 0.750)
Cu (0.835, 0.670, 0.750)
Y (0.667, 0.333, 0.056)
Y (0.667, 0.333, 0.444)
Y (0.333, 0.667, 0.556)
Y (0.333, 0.667, 0.944)


Computed, not measured: an optimized crystal structure of BiPd15 at the PBE-GGA level of DFT.

Output
DFT total energy: -162.79 eV/cell
space-group type: P2_1/m, No. 11

Unit cell a=5.526 b=2.858 c=43.049 alpha=90.00 beta=90.00 gamma=90.00
Atoms (fractional coordinates):
Bi (0.875, 0.000, 0.157)
Bi (0.125, 0.500, 0.843)
Pd (0.375, 0.000, 0.162)
Pd (0.626, 0.500, 0.208)
Pd (0.124, 0.500, 0.208)
Pd (0.375, 0.000, 0.253)
Pd (0.875, 0.000, 0.253)
Pd (0.125, 0.500, 0.298)
Pd (0.625, 0.500, 0.298)
Pd (0.375, 0.000, 0.343)
Pd (0.875, 0.000, 0.343)
Pd (0.125, 0.500, 0.388)
Pd (0.625, 0.500, 0.388)
Pd (0.375, 0.000, 0.433)
Pd (0.875, 0.000, 0.433)
Pd (0.125, 0.500, 0.478)
Pd (0.625, 0.500, 0.478)
Pd (0.375, 0.000, 0.522)
Pd (0.875, 0.000, 0.522)
Pd (0.125, 0.500, 0.567)
Pd (0.625, 0.500, 0.567)
Pd (0.375, 0.000, 0.612)
Pd (0.875, 0.000, 0.612)
Pd (0.125, 0.500, 0.657)
Pd (0.625, 0.500, 0.657)
Pd (0.375, 0.000, 0.702)
Pd (0.875, 0.000, 0.702)
Pd (0.125, 0.500, 0.747)
Pd (0.625, 0.500, 0.747)
Pd (0.876, 0.000, 0.792)
Pd (0.374, 0.000, 0.792)
Pd (0.625, 0.500, 0.838)


Computed, not measured: an optimized crystal structure of MgScCd2 at the PBE-GGA level of DFT.

Output
DFT total energy: -42.44 eV/cell
space-group type: Cmmm, No. 65

Unit cell a=6.745 b=6.812 c=7.425 alpha=90.00 beta=90.00 gamma=90.00
Atoms (fractional coordinates):
Cd (0.500, 0.500, 0.250)
Cd (0.500, 0.000, 0.250)
Cd (0.000, 0.500, 0.250)
Cd (0.000, 0.000, 0.250)
Cd (0.000, 0.500, 0.750)
Cd (0.000, 0.000, 0.750)
Cd (0.500, 0.500, 0.750)
Cd (0.500, 0.000, 0.750)
Mg (0.750, 0.250, 0.000)
Mg (0.250, 0.750, 0.500)
Mg (0.750, 0.250, 0.500)
Mg (0.250, 0.750, 0.000)
Sc (0.250, 0.250, 0.000)
Sc (0.750, 0.750, 0.000)
Sc (0.250, 0.250, 0.500)
Sc (0.750, 0.750, 0.500)


Computed, not measured: an optimized crystal structure of Na4GeAsAu2 at the PBE-GGA level of DFT.

Output
DFT total energy: -23.08 eV/cell
space-group type: P-4m2, No. 115

Unit cell a=4.784 b=4.784 c=6.929 alpha=90.00 beta=90.00 gamma=90.00
Atoms (fractional coordinates):
As (0.000, 0.000, 0.000)
Au (0.500, 0.000, 0.269)
Au (0.000, 0.500, 0.731)
Ge (0.500, 0.500, 0.500)
Na (0.500, 0.500, 0.000)
Na (0.000, 0.500, 0.245)
Na (0.000, 0.000, 0.500)
Na (0.500, 0.000, 0.755)


Computed, not measured: an optimized crystal structure of LuTePO at the PBE-GGA level of DFT.

Output
DFT total energy: -46.44 eV/cell
space-group type: Pmc2_1, No. 26

Unit cell a=5.063 b=7.254 c=6.034 alpha=90.00 beta=90.00 gamma=90.00
Atoms (fractional coordinates):
Lu (0.500, 0.170, 0.473)
Lu (0.500, 0.830, 0.973)
O (0.500, 0.963, 0.257)
O (0.500, 0.037, 0.757)
P (0.000, 0.329, 0.473)
P (0.000, 0.671, 0.973)
Te (0.000, 0.325, 0.052)
Te (0.000, 0.675, 0.552)


Computed, not measured: an optimized crystal structure of ScB3W at the PBE-GGA level of DFT.

Output
DFT total energy: -85.59 eV/cell
space-group type: Cmcm, No. 63

Unit cell a=9.772 b=9.772 c=3.107 alpha=90.00 beta=90.00 gamma=160.34
Atoms (fractional coordinates):
B (0.668, 0.332, 0.250)
B (0.477, 0.523, 0.250)
B (0.382, 0.618, 0.250)
B (0.618, 0.382, 0.750)
B (0.523, 0.477, 0.750)
B (0.332, 0.668, 0.750)
Sc (0.071, 0.929, 0.250)
Sc (0.929, 0.071, 0.750)
W (0.794, 0.206, 0.250)
W (0.206, 0.794, 0.750)